Entry 1:
Computed, not measured: Sc12Al3Re after structural relaxation at the PBE level of DFT.

Values from the calculation:
space group	P4/mmm, No. 123
formation energy from the elements	-0.17	eV/atom

a b c (Å): 4.405 4.405 17.510
angles (deg): 90.00 90.00 90.00
Element x y z (fractional)
Sc 0.500 0.500 0.000
Re 0.000 0.000 0.000
Sc 0.000 0.500 0.114
Sc 0.000 0.500 0.373
Al 0.000 0.000 0.752
Sc 0.500 0.000 0.627
Sc 0.000 0.500 0.886
Sc 0.500 0.000 0.373
Sc 0.000 0.500 0.627
Sc 0.500 0.500 0.753
Sc 0.500 0.000 0.114
Al 0.000 0.000 0.248
Sc 0.500 0.500 0.500
Sc 0.500 0.000 0.886
Al 0.000 0.000 0.500
Sc 0.500 0.500 0.247


Entry 2:
Computed, not measured: ThCu2Pd9 after structural relaxation at the PBE level of DFT.

Values from the calculation:
space group	P4/mmm, No. 123
formation energy from the elements	-0.34	eV/atom

a b c (Å): 4.157 4.157 11.200
angles (deg): 90.00 90.00 90.00
Element x y z (fractional)
Pd 0.500 0.000 0.500
Pd 0.500 0.500 0.344
Pd 0.000 0.500 0.185
Pd 0.500 0.500 0.000
Pd 0.000 0.500 0.815
Pd 0.500 0.000 0.815
Cu 0.000 0.000 0.348
Pd 0.500 0.000 0.185
Pd 0.500 0.500 0.656
Pd 0.000 0.500 0.500
Cu 0.000 0.000 0.652
Th 0.000 0.000 0.000


Entry 3:
Computed, not measured: Ac2La2PrSm4 after structural relaxation at the PBE level of DFT.

Values from the calculation:
space group	C2/m, No. 12
formation energy from the elements	0.02	eV/atom

a b c (Å): 3.795 9.956 10.056
angles (deg): 115.32 90.00 100.99
Element x y z (fractional)
Sm 0.519 0.038 0.324
La 0.666 0.332 0.004
Sm 0.184 0.368 0.334
Sm 0.816 0.632 0.666
Ac 0.854 0.708 0.337
Sm 0.481 0.962 0.676
Pr 0.000 0.000 0.000
La 0.334 0.668 0.996
Ac 0.146 0.292 0.663


Entry 4:
Computed, not measured: DyHo6Co2 after structural relaxation at the PBE level of DFT.

Values from the calculation:
space group	Immm, No. 71
formation energy from the elements	-0.07	eV/atom

a b c (Å): 8.465 8.465 8.465
angles (deg): 107.36 108.93 112.16
Element x y z (fractional)
Ho 0.214 0.242 0.456
Ho 0.684 0.003 0.318
Co 0.304 0.000 0.304
Ho 0.102 0.287 0.815
Dy 0.000 0.500 0.500
Ho 0.214 0.758 0.972
Co 0.500 0.386 0.886
Ho 0.786 0.242 0.028
Co 0.500 0.614 0.114
Ho 0.786 0.758 0.544
Ho 0.316 0.634 0.318
Ho 0.316 0.997 0.682
Co 0.696 0.000 0.696
Dy 0.000 0.000 0.000
Ho 0.898 0.713 0.185
Ho 0.473 0.287 0.185
Ho 0.527 0.713 0.815
Ho 0.684 0.366 0.682